# PBE+U Sr2WO5, optimized geometry
# ΔE to the lowest computed polymorph = 7 meV/atom
# Fermi-level density of states = 0.00 states/eV/atom
# Calculated volume = 15.353 Å³ per atom
data_Sr2WO5
_chemical_formula_sum 'Sr8 W4 O20'
_cell_length_a 11.5604
_cell_length_b 5.7691
_cell_length_c 7.8249
_cell_angle_alpha 90.00
_cell_angle_beta 109.71
_cell_angle_gamma 90.00
_symmetry_space_group_name_H-M 'C 1 2/c 1'
_symmetry_Int_Tables_number 15
_symmetry_space_group_name_Hall '-C 2yc'
loop_
_atom_site_label
_atom_site_type_symbol
_atom_site_fract_x
_atom_site_fract_y
_atom_site_fract_z
Sr1 Sr 0.1748 0.0184 0.3372
W1 W 0.0000 0.5000 0.0000
O1 O 0.0000 0.4407 0.2500
O2 O 0.1281 0.2641 0.5845
O3 O 0.1290 0.2711 0.0437